Entry a
A relaxed Na2OsPb2 crystal. Source: Alexandria via LeMat-Bulk, functional PBE-GGA.

Cell: 7.2829 7.2829 4.3741 Å, 90.00 90.00 90.00°
Last column: nearest neighbours and their distance in Å.
Atoms (fractional coordinates):
Na1 0.1270 0.3730 0.0000  1 Na 2.62, 2 Os 2.87, 2 Pb 2.92
Na2 0.3730 0.8730 0.0000  1 Na 2.62, 2 Os 2.87, 2 Pb 2.92
Na3 0.6270 0.1270 0.0000  1 Na 2.62, 2 Os 2.87, 2 Pb 2.92
Na4 0.8730 0.6270 0.0000  1 Na 2.62, 2 Os 2.87, 2 Pb 2.92
Os1 0.0000 0.0000 0.0000  4 Na 2.87
Os2 0.5000 0.5000 0.0000  4 Na 2.87
Pb1 0.1857 0.6857 0.5000  6 Na 2.92-3.19
Pb2 0.3143 0.1857 0.5000  6 Na 2.92-3.19
Pb3 0.6857 0.8143 0.5000  6 Na 2.92-3.19
Pb4 0.8143 0.3143 0.5000  6 Na 2.92-3.19

---

Entry b
A relaxed Na2OsPb2 crystal. Source: Alexandria via LeMat-Bulk, functional PBE-GGA.

Cell: 5.4770 5.4770 5.4770 Å, 120.55 120.55 89.04°
Last column: nearest neighbours and their distance in Å.
Atoms (fractional coordinates):
Na1 0.1431 0.1431 0.0000  1 Na 2.23
Na2 0.8569 0.8569 0.0000  1 Na 2.23
Os1 0.5000 0.5000 0.0000  2 Na 2.79
Pb1 0.2500 0.7500 0.5000  4 Na 2.84
Pb2 0.7500 0.2500 0.5000  4 Na 2.84

---

Least stable structure: entry b

---

Entry a
A relaxed NaOs2PbS crystal. Source: Alexandria via LeMat-Bulk, functional PBE-GGA.

Cell: 5.0596 5.0596 5.5526 Å, 90.00 90.00 90.00°
Last column: nearest neighbours and their distance in Å.
Atoms (fractional coordinates):
Na1 0.0000 0.0000 0.0000  2 Pb 2.78
Os1 0.0000 0.5000 0.5000  2 Pb 2.53
Os2 0.5000 0.0000 0.5000  2 Pb 2.53
Pb1 0.0000 0.0000 0.5000  4 Os 2.53, 2 Na 2.78
S1 0.5000 0.5000 0.0000  4 Na 3.58, 8 Os 3.76

---

Entry b
A relaxed NaOs2PbS crystal. Source: Alexandria via LeMat-Bulk, functional PBE-GGA.

Cell: 4.3808 4.3808 5.5587 Å, 90.00 90.00 90.00°
Last column: nearest neighbours and their distance in Å.
Atoms (fractional coordinates):
Na1 0.0000 0.0000 0.0000  4 Pb 3.10
Os1 0.0000 0.5000 0.5000  2 S 2.19
Os2 0.5000 0.0000 0.5000  2 S 2.19
Pb1 0.5000 0.5000 0.0000  2 S 2.78, 4 Na 3.10
S1 0.5000 0.5000 0.5000  4 Os 2.19

---

Least stable structure: entry a

---

Entry a
A relaxed NaOsPd3 crystal. Source: Alexandria via LeMat-Bulk, functional PBE-GGA.

Cell: 4.4974 4.4974 4.4974 Å, 90.00 90.00 90.00°
Last column: nearest neighbours and their distance in Å.
Atoms (fractional coordinates):
Na1 0.0000 0.0000 0.0000  6 Pd 2.25
Os1 0.5000 0.5000 0.5000  12 Pd 3.18
Pd1 0.0000 0.0000 0.5000  2 Na 2.25
Pd2 0.0000 0.5000 0.0000  2 Na 2.25
Pd3 0.5000 0.0000 0.0000  2 Na 2.25

---

Entry b
A relaxed NaOsPd3 crystal. Source: Alexandria via LeMat-Bulk, functional PBE-GGA.

Cell: 4.8755 4.8755 4.8755 Å, 90.00 90.00 90.00°
Last column: nearest neighbours and their distance in Å.
Atoms (fractional coordinates):
Na1 0.0000 0.0000 0.0000  12 Pd 3.45
Os1 0.5000 0.5000 0.5000  6 Pd 2.44
Pd1 0.0000 0.5000 0.5000  2 Os 2.44
Pd2 0.5000 0.0000 0.5000  2 Os 2.44
Pd3 0.5000 0.5000 0.0000  2 Os 2.44

---

Least stable structure: entry a